1.
CrMo2Os after structural relaxation. Source: the Alexandria database, functional PBE.

Computed properties:
Formation energy from the elements: 11.3 kJ per mole of atoms
Energy relative to the lowest polymorph listed for this composition: 0.000 eV per atom

Cell and atoms, written as POSCAR:
```
CrMo2Os
1.0
-5.016 -0.576 0.554
-1.542 -3.327 3.515
2.677 4.240 -0.809
Mo Os Cr
2 1 1
Direct
0.487 0.487 0.000
0.013 0.013 0.000
0.750 0.250 0.500
0.250 0.750 0.500
```

=====

2.
NbAlV2 after structural relaxation. Source: the Alexandria database, functional PBE.

Computed properties:
Formation energy from the elements: -7.0 kJ per mole of atoms

Cell and atoms, written as POSCAR:
```
NbAlV2
1.0
2.723 0.015 0.000
-0.885 2.575 0.000
0.000 0.000 8.708
V Al Nb
2 1 1
Direct
0.000 0.000 0.481
0.500 0.500 0.259
0.000 0.000 0.015
0.500 0.500 0.746
```

=====

3.
Pr8CdSn2 after structural relaxation. Source: the Alexandria database, functional PBE.

Computed properties:
Formation energy from the elements: -29.9 kJ per mole of atoms

Cell and atoms, written as POSCAR:
```
Pr8CdSn2
1.0
-4.116 3.190 1.189
-4.484 -5.357 -1.150
4.439 -2.134 9.092
Sn Pr Cd
2 8 1
Direct
0.821 0.251 0.642
0.179 0.749 0.358
0.985 0.232 0.970
0.407 0.518 0.813
0.212 0.318 0.424
0.015 0.768 0.030
0.593 0.482 0.187
0.658 0.994 0.317
0.788 0.682 0.576
0.342 0.006 0.683
0.500 0.000 0.000
```

=====

4.
AlV4Ge3 after structural relaxation. Source: the Alexandria database, functional PBE.

Computed properties:
Formation energy from the elements: -1.5 kJ per mole of atoms

Cell and atoms, written as POSCAR:
```
AlV4Ge3
1.0
-1.722 3.763 3.142
0.747 -2.961 3.956
8.465 3.204 0.801
V Ge Al
8 6 2
Direct
0.058 0.948 0.000
0.558 0.052 0.500
0.363 0.361 0.000
0.665 0.655 0.743
0.165 0.345 0.757
0.665 0.655 0.257
0.165 0.345 0.243
0.863 0.639 0.500
0.676 0.163 0.781
0.031 0.151 0.500
0.176 0.837 0.719
0.676 0.163 0.219
0.531 0.849 0.000
0.176 0.837 0.281
0.881 0.455 0.000
0.381 0.545 0.500
```

=====

5.
BeNi2Sb after structural relaxation. Source: the Alexandria database, functional PBE.

Computed properties:
Energy relative to the lowest polymorph listed for this composition: 0.291 eV per atom

Cell and atoms, written as POSCAR:
```
BeNi2Sb
1.0
3.745 0.000 0.000
0.000 3.745 0.000
1.873 1.873 8.124
Be Ni Sb
2 4 2
Direct
0.500 0.500 0.000
0.250 0.750 0.500
0.588 0.125 0.250
0.875 0.838 0.750
0.375 0.412 0.750
0.162 0.625 0.250
0.000 0.000 0.000
0.750 0.250 0.500
```

=====

6.
Fe2AgPt after structural relaxation. Source: the Alexandria database, functional PBE.

Computed properties:
Formation energy from the elements: 17.4 kJ per mole of atoms

Cell and atoms, written as POSCAR:
```
Fe2AgPt
1.0
4.355 0.000 0.000
2.177 3.771 0.000
2.177 1.257 3.556
Fe Pt Ag
2 1 1
Direct
0.000 0.000 0.000
0.750 0.750 0.750
0.250 0.250 0.250
0.500 0.500 0.500
```

=====

7.
Pm2PrGe after structural relaxation. Source: the Alexandria database, functional PBE.

Computed properties:
Formation energy from the elements: -10.0 kJ per mole of atoms
Energy relative to the lowest polymorph listed for this composition: 0.253 eV per atom

Cell and atoms, written as POSCAR:
```
Pm2PrGe
1.0
5.415 0.000 0.000
2.708 4.690 0.000
2.708 1.563 4.422
Pr Ge Pm
1 1 2
Direct
0.500 0.500 0.500
0.000 0.000 0.000
0.750 0.750 0.750
0.250 0.250 0.250
```

=====

8.
YSc2 after structural relaxation. Source: the Alexandria database, functional PBE.

Computed properties:
Formation energy from the elements: 2.2 kJ per mole of atoms
Energy relative to the lowest polymorph listed for this composition: 0.000 eV per atom

Cell and atoms, written as POSCAR:
```
YSc2
1.0
-3.184 -0.478 -1.211
0.717 -4.201 4.656
-2.997 3.812 6.377
Sc Y
4 2
Direct
0.390 0.779 0.719
0.060 0.120 0.407
0.996 0.991 0.982
0.666 0.332 0.670
0.343 0.686 0.333
0.713 0.426 0.055
```

=====

9.
Ce2ReN6 after structural relaxation. Source: the Alexandria database, functional PBE.

Computed properties:
E: -149.5 eV for the cell shown

Cell and atoms, written as POSCAR:
```
Ce2ReN6
1.0
-0.841 -0.634 5.017
-1.786 -4.721 -0.896
9.343 -3.742 1.094
N Ce Re
12 4 2
Direct
0.769 0.231 0.500
0.815 0.185 0.854
0.731 0.731 0.000
0.685 0.685 0.646
0.815 0.185 0.146
0.185 0.815 0.146
0.269 0.269 0.000
0.315 0.315 0.646
0.685 0.685 0.354
0.185 0.815 0.854
0.315 0.315 0.354
0.231 0.769 0.500
0.000 0.000 0.672
0.500 0.500 0.828
0.000 0.000 0.328
0.500 0.500 0.172
0.500 0.500 0.500
0.000 0.000 0.000
```

=====

10.
ZnTe2IO after structural relaxation. Source: the Alexandria database, functional PBE.

Computed properties:
Energy relative to the lowest polymorph listed for this composition: 0.582 eV per atom

Cell and atoms, written as POSCAR:
```
ZnTe2IO
1.0
5.285 0.000 0.000
0.000 5.285 0.000
0.000 0.000 5.335
I Te O Zn
1 2 1 1
Direct
0.000 0.000 0.500
0.000 0.500 0.000
0.500 0.000 0.000
0.500 0.500 0.500
0.000 0.000 0.000
```

=====

11.
CdBiRhN2 after structural relaxation. Source: the Alexandria database, functional PBE.

Computed properties:
E: -20.2 eV for the cell shown

Cell and atoms, written as POSCAR:
```
CdBiRhN2
1.0
-2.179 2.792 -2.450
-4.473 -1.887 1.828
0.093 2.880 3.200
Rh Bi N Cd
1 1 2 1
Direct
0.000 0.500 0.000
0.000 0.000 0.000
0.500 0.000 0.000
0.000 0.000 0.500
0.500 0.500 0.500
```

=====

12.
MnZn2Ir after structural relaxation. Source: the Alexandria database, functional PBE.

Computed properties:
Formation energy from the elements: -18.4 kJ per mole of atoms

Cell and atoms, written as POSCAR:
```
MnZn2Ir
1.0
4.661 -0.033 0.000
1.502 4.413 0.000
-3.082 -2.190 2.727
Ir Zn Mn
1 2 1
Direct
0.250 0.750 0.500
0.000 0.000 0.000
0.500 0.500 0.000
0.750 0.250 0.500
```

=====

Result set for V: 57.9 61.2 364.0 236.0 114.0 58.4 112.3 162.6 266.1 149.0 96.2 56.2 Å³ per cell, one per record in the order listed.